Run i
# ZrTlW2 (PBEsol, relaxed)
# **M_tot**: 0.00 μB per formula unit
data_ZrTlW2
_symmetry_space_group_name_H-M 'C m m m'
_symmetry_Int_Tables_number 65
_symmetry_space_group_name_Hall '-C 2 2'
_cell_length_a 3.290
_cell_length_b 4.753
_cell_length_c 9.420
_cell_angle_alpha 90.00
_cell_angle_beta 90.00
_cell_angle_gamma 90.00
loop_
_atom_site_label
_atom_site_fract_x
_atom_site_fract_y
_atom_site_fract_z
_atom_site_occupancy
Zr1 0.000 0.000 0.000 1
Tl1 0.000 0.000 0.500 1
W1 0.000 0.500 0.246 1


Run ii
# ZrTlW2 (PBEsol, relaxed)
# **M_tot**: 0.00 μB per formula unit
data_ZrTlW2
_symmetry_space_group_name_H-M 'I -4 m 2'
_symmetry_Int_Tables_number 119
_symmetry_space_group_name_Hall 'I -4 -2'
_cell_length_a 4.370
_cell_length_b 4.370
_cell_length_c 7.581
_cell_angle_alpha 90.00
_cell_angle_beta 90.00
_cell_angle_gamma 90.00
loop_
_atom_site_label
_atom_site_fract_x
_atom_site_fract_y
_atom_site_fract_z
_atom_site_occupancy
Zr1 0.000 0.000 0.000 1
Tl1 0.000 0.500 0.250 1
W1 0.000 0.000 0.500 1
W2 0.000 0.500 0.750 1


Result of the stability comparison: run ii is the most stable of them.


Run i
# Y5Tl (PBEsol, relaxed)
# **M_tot**: 0.00 μB per formula unit
data_Y5Tl
_symmetry_space_group_name_H-M 'C m m m'
_symmetry_Int_Tables_number 65
_symmetry_space_group_name_Hall '-C 2 2'
_cell_length_a 4.782
_cell_length_b 14.987
_cell_length_c 4.788
_cell_angle_alpha 90.00
_cell_angle_beta 90.00
_cell_angle_gamma 90.00
loop_
_atom_site_label
_atom_site_fract_x
_atom_site_fract_y
_atom_site_fract_z
_atom_site_occupancy
Y1 0.000 0.000 0.000 1
Y2 0.000 0.161 0.500 1
Y3 0.000 0.332 0.000 1
Tl1 0.000 0.500 0.500 1


Run ii
# Y5Tl (PBEsol, relaxed)
# **M_tot**: 0.00 μB per formula unit
data_Y5Tl
_symmetry_space_group_name_H-M 'C 1 m 1'
_symmetry_Int_Tables_number 8
_symmetry_space_group_name_Hall 'C -2y'
_cell_length_a 12.524
_cell_length_b 3.540
_cell_length_c 8.130
_cell_angle_alpha 90.00
_cell_angle_beta 104.99
_cell_angle_gamma 90.00
loop_
_atom_site_label
_atom_site_fract_x
_atom_site_fract_y
_atom_site_fract_z
_atom_site_occupancy
Y1 0.000 0.000 0.000 1
Y2 0.027 0.000 0.611 1
Y3 0.168 0.500 0.356 1
Y4 0.219 0.500 0.924 1
Y5 0.387 0.000 0.269 1
Tl1 0.320 0.000 0.665 1


Run iii
# Y5Tl (PBEsol, relaxed)
# **M_tot**: 0.00 μB per formula unit
data_Y5Tl
_symmetry_space_group_name_H-M 'A m m 2'
_symmetry_Int_Tables_number 38
_symmetry_space_group_name_Hall 'A 2 -2'
_cell_length_a 5.436
_cell_length_b 3.570
_cell_length_c 17.928
_cell_angle_alpha 90.00
_cell_angle_beta 90.00
_cell_angle_gamma 90.00
loop_
_atom_site_label
_atom_site_fract_x
_atom_site_fract_y
_atom_site_fract_z
_atom_site_occupancy
Y1 0.000 0.000 0.000 1
Y2 0.000 0.000 0.324 1
Y3 0.000 0.000 0.658 1
Y4 0.500 0.000 0.207 1
Y5 0.500 0.000 0.879 1
Tl1 0.500 0.000 0.548 1


Result of the stability comparison: run i is the most stable of them.